1.
{
  "formula": "TbSm3Th2S6",
  "functional": "PBE",
  "state": "relaxed",
  "m_tot_mub_per_fu": 0.00,
  "total_energy_ev_per_cell": -81.7,
  "cell": [[3.471, -5.993, 0.000], [3.471, 5.993, 0.000], [-2.311, 0.000, 6.563]],
  "species": ["Tb", "Sm", "Sm", "Sm", "Th", "Th", "S", "S", "S", "S", "S", "S"],
  "frac_coords": [[0.000, 0.000, 0.000], [0.167, 0.833, 0.500], [0.500, 0.500, 0.500], [0.833, 0.167, 0.500], [0.333, 0.667, 0.000], [0.667, 0.333, 0.000], [0.083, 0.411, 0.250], [0.244, 0.244, 0.749], [0.411, 0.083, 0.250], [0.589, 0.917, 0.750], [0.756, 0.756, 0.251], [0.917, 0.589, 0.750]]
}

2.
{
  "formula": "Tb3Sm4ThS8",
  "functional": "PBE",
  "state": "relaxed",
  "m_tot_mub_per_fu": 0.00,
  "total_energy_ev_per_cell": -105.0,
  "cell": [[3.986, 2.301, 6.502], [-3.986, 2.301, 6.502], [0.000, -4.602, 6.502]],
  "species": ["Tb", "Tb", "Tb", "Sm", "Sm", "Sm", "Sm", "Th", "S", "S", "S", "S", "S", "S", "S", "S"],
  "frac_coords": [[0.000, 0.500, 0.500], [0.500, 0.000, 0.500], [0.500, 0.500, 0.000], [0.000, 0.000, 0.500], [0.000, 0.500, 0.000], [0.500, 0.000, 0.000], [0.500, 0.500, 0.500], [0.000, 0.000, 0.000], [0.251, 0.251, 0.744], [0.251, 0.744, 0.251], [0.253, 0.253, 0.253], [0.256, 0.749, 0.749], [0.744, 0.251, 0.251], [0.747, 0.747, 0.747], [0.749, 0.256, 0.749], [0.749, 0.749, 0.256]]
}

Number 1: calculated density 7.7 Mg/m³, formation energy (no corrections) -1.944 eV/atom, V 22.75 A^3/atom. Number 2: calculated density 7.3 Mg/m³, formation energy (no corrections) -1.986 eV/atom, V 22.36 A^3/atom.